## Zn2Cr2O (GGA+U)

Data for a relaxed Zn2Cr2O crystal.

## Properties
Its space-group type is I4/mmm, No. 139. As for the crystal system: tetragonal. The energy relative to the lowest polymorph listed for this composition is 12.47 kcal/mol of atoms. The value obtained for the density of states at the Fermi level is 0.2048 states/eV/atom. The value obtained for the total magnetization is 9.8 μB per cell. The calculation puts the volume at 18.3 Å³ per atom.

The structure in POSCAR format:
```
Zn2Cr2O
1.0
3.774 0.000 0.000
0.000 3.774 0.000
1.887 1.887 6.430
O Cr Zn
1 2 2
direct
0.000 0.000 0.000
0.750 0.250 0.500
0.250 0.750 0.500
0.407 0.407 0.186
0.593 0.593 0.814
```